1.
## DyOsNO (PBE)

Data for crystalline DyOsNO at its relaxed geometry.

It has space group Pmc2_1 (No. 26), with a = 3.536 Å, b = 6.251 Å, c = 5.291 Å, α = 90.00°, β = 90.00° and γ = 90.00°. The distinct sites, in fractional coordinates, are Dy at (0.000, 0.194, 0.000), Os at (0.500, 0.403, 0.418), N at (0.500, 0.322, 0.778) and O at (0.000, 0.153, 0.411).

As for the size of the total moment: 0.0 μB/f.u. The electronic total energy comes out at -8.156 eV per atom. For the relative energy among the computed polymorphs, the calculation gives 0.569 eV per atom.

***

2.
## PrHBrCl (PBE)

Data for crystalline PrHBrCl at its relaxed geometry.

It has space group P6_3mc (No. 186), with a = 4.0027 Å, b = 4.0027 Å, c = 13.9056 Å, α = 90.00°, β = 90.00° and γ = 120.00°. The distinct sites, in fractional coordinates, are Pr at (0.0000, 0.0000, 0.0000), H at (0.3333, 0.6667, 0.4985), Br at (0.3333, 0.6667, 0.8580) and Cl at (0.3333, 0.6667, 0.1266).

As for the size of the total moment: 0.0 μB/f.u. The electronic total energy comes out at -4.562 eV per atom.

***

3.
## SmScFe (PBE)

Data for crystalline SmScFe at its relaxed geometry.

It has space group F-43m (No. 216), with a = 6.493 Å, b = 6.493 Å, c = 6.493 Å, α = 90.00°, β = 90.00° and γ = 90.00°. The distinct sites, in fractional coordinates, are Sm at (0.000, 0.000, 0.000), Sc at (0.250, 0.250, 0.250) and Fe at (0.250, 0.250, 0.750).

The formation enthalpy at 0 K comes out at 287 kJ/mol of formula units. As for the size of the total moment: 1.3 μB/f.u. The electronic total energy comes out at -5.459 eV per atom. For the relative energy among the computed polymorphs, the calculation gives 0.776 eV per atom.

***

4.
## LiTbHg3S4 (PBE)

Data for crystalline LiTbHg3S4 at its relaxed geometry.

It has space group P-43m (No. 215), with a = 6.438 Å, b = 6.438 Å, c = 6.438 Å, α = 90.00°, β = 90.00° and γ = 90.00°. The distinct sites, in fractional coordinates, are Li at (0.000, 0.000, 0.000), Tb at (0.500, 0.500, 0.500), Hg at (0.000, 0.500, 0.500) and S at (0.262, 0.262, 0.262).

As for the size of the total moment: 0.0 μB/f.u. The electronic total energy comes out at -3.206 eV per atom. For the relative energy among the computed polymorphs, the calculation gives 0.115 eV per atom.

***

5.
## AlSbW4C2 (PBE)

Data for crystalline AlSbW4C2 at its relaxed geometry.

It has space group P-6m2 (No. 187), with a = 3.1358 Å, b = 3.1358 Å, c = 13.4349 Å, α = 90.00°, β = 90.00° and γ = 120.00°. The distinct sites, in fractional coordinates, are Al at (0.0000, 0.0000, 0.0000), Sb at (0.6667, 0.3333, 0.5000), W at (0.0000, 0.0000, 0.3294), W at (0.6667, 0.3333, 0.1589) and C at (0.3333, 0.6667, 0.2461).

As for the size of the total moment: 0.0 μB/f.u. The electronic total energy comes out at -9.545 eV per atom.

***

6.
## TaCuTeMo (PBE)

Data for crystalline TaCuTeMo at its relaxed geometry.

It has space group F-43m (No. 216), with a = 6.450 Å, b = 6.450 Å, c = 6.450 Å, α = 90.00°, β = 90.00° and γ = 90.00°. The distinct sites, in fractional coordinates, are Ta at (0.000, 0.000, 0.000), Cu at (0.250, 0.250, 0.250), Te at (0.250, 0.250, 0.750) and Mo at (0.000, 0.000, 0.500).

As for the size of the total moment: 0.0 μB/f.u. The electronic total energy comes out at -6.966 eV per atom. For the relative energy among the computed polymorphs, the calculation gives 0.000 eV per atom.

***

7.
## Ba2AgIr (PBE)

Data for crystalline Ba2AgIr at its relaxed geometry.

It has space group Pmn2_1 (No. 31), with a = 4.598 Å, b = 8.566 Å, c = 6.459 Å, α = 90.00°, β = 90.00° and γ = 90.00°. The distinct sites, in fractional coordinates, are Ba at (0.000, 0.053, 0.000), Ba at (0.000, 0.586, 0.755), Ag at (0.000, 0.713, 0.242) and Ir at (0.000, 0.220, 0.505).

As for the size of the total moment: 0.0 μB/f.u. The electronic total energy comes out at -3.990 eV per atom. For the relative energy among the computed polymorphs, the calculation gives 0.110 eV per atom.

***

8.
## HfSc2Al (PBE)

Data for crystalline HfSc2Al at its relaxed geometry.

It has space group F-43m (No. 216), with a = 6.936 Å, b = 6.936 Å, c = 6.936 Å, α = 90.00°, β = 90.00° and γ = 90.00°. The distinct sites, in fractional coordinates, are Hf at (0.000, 0.000, 0.000), Sc at (0.000, 0.000, 0.500), Sc at (0.250, 0.250, 0.250) and Al at (0.250, 0.250, 0.750).

As for the size of the total moment: 0.7 μB/f.u. The electronic total energy comes out at -6.658 eV per atom.

***

9.
## GdTm2In3Cu2Ni (PBE)

Data for crystalline GdTm2In3Cu2Ni at its relaxed geometry.

It has space group Amm2 (No. 38), with a = 3.877 Å, b = 12.839 Å, c = 7.420 Å, α = 90.00°, β = 90.00° and γ = 90.00°. The distinct sites, in fractional coordinates, are Gd at (0.000, 0.000, 0.000), Tm at (0.000, 0.203, 0.389), In at (0.500, 0.000, 0.340), In at (0.500, 0.127, 0.718), Cu at (0.500, 0.169, 0.093) and Ni at (0.000, 0.000, 0.589).

As for the size of the total moment: 0.0 μB/f.u. The electronic total energy comes out at -4.309 eV per atom.

***

10.
## DyHoAg2Pb2 (PBE)

Data for crystalline DyHoAg2Pb2 at its relaxed geometry.

It has space group P3m1 (No. 156), with a = 4.8058 Å, b = 4.8058 Å, c = 7.4333 Å, α = 90.00°, β = 90.00° and γ = 120.00°. The distinct sites, in fractional coordinates, are Dy at (0.0000, 0.0000, 0.0000), Ho at (0.0000, 0.0000, 0.5003), Ag at (0.3333, 0.6667, 0.1853), Ag at (0.6667, 0.3333, 0.6838), Pb at (0.3333, 0.6667, 0.7788) and Pb at (0.6667, 0.3333, 0.2798).

As for the size of the total moment: 0.0 μB/f.u. The electronic total energy comes out at -4.107 eV per atom.

***

11.
## NdGa2Te4 (PBE)

Data for crystalline NdGa2Te4 at its relaxed geometry.

It has space group Cccm (No. 66), with a = 7.006 Å, b = 11.131 Å, c = 11.342 Å, α = 90.00°, β = 90.00° and γ = 90.00°. The distinct sites, in fractional coordinates, are Nd at (0.000, 0.000, 0.250), Ga at (0.004, 0.270, 0.000), Te at (0.220, 0.064, 0.500) and Te at (0.250, 0.250, 0.187).

As for the size of the total moment: 0.0 μB/f.u. The electronic total energy comes out at -4.012 eV per atom.

***

12.
## Cu2Ag3 (PBE)

Data for crystalline Cu2Ag3 at its relaxed geometry.

It has space group C2/m (No. 12), with a = 15.546 Å, b = 2.871 Å, c = 7.158 Å, α = 90.00°, β = 102.80° and γ = 90.00°. The distinct sites, in fractional coordinates, are Cu at (0.000, 0.000, 0.000), Cu at (0.000, 0.000, 0.500), Cu at (0.079, 0.500, 0.278), Ag at (0.098, 0.500, 0.808), Ag at (0.182, 0.000, 0.556) and Ag at (0.201, 0.000, 0.132).

The formation enthalpy at 0 K comes out at 36 kJ/mol of formula units. The electronic total energy comes out at -3.106 eV per atom. For the relative energy among the computed polymorphs, the calculation gives 0.043 eV per atom.

***

13.
## B4SbW (PBE)

Data for crystalline B4SbW at its relaxed geometry.

It has space group Immm (No. 71), with a = 3.065 Å, b = 5.436 Å, c = 7.402 Å, α = 90.00°, β = 90.00° and γ = 90.00°. The distinct sites, in fractional coordinates, are B at (0.000, 0.164, 0.245), Sb at (0.000, 0.500, 0.000) and W at (0.000, 0.500, 0.500).

As for the size of the total moment: 0.0 μB/f.u. The electronic total energy comes out at -6.745 eV per atom. For the relative energy among the computed polymorphs, the calculation gives 0.379 eV per atom.

***

14.
## Ho3B7W (PBE)

Data for crystalline Ho3B7W at its relaxed geometry.

It has space group Cmcm (No. 63), with a = 3.450 Å, b = 15.903 Å, c = 9.448 Å, α = 90.00°, β = 90.00° and γ = 90.00°. The distinct sites, in fractional coordinates, are Ho at (0.000, 0.107, 0.060), Ho at (0.000, 0.244, 0.750), B at (0.000, 0.272, 0.033), B at (0.000, 0.365, 0.147), B at (0.000, 0.455, 0.750), B at (0.000, 0.481, 0.091) and W at (0.000, 0.053, 0.750).

As for the size of the total moment: 0.0 μB/f.u. The electronic total energy comes out at -7.283 eV per atom.

***

15.
## AcSbAu (PBE)

Data for crystalline AcSbAu at its relaxed geometry.

It has space group F-43m (No. 216), with a = 7.526 Å, b = 7.526 Å, c = 7.526 Å, α = 90.00°, β = 90.00° and γ = 90.00°. The distinct sites, in fractional coordinates, are Ac at (0.000, 0.000, 0.000), Sb at (0.250, 0.250, 0.250) and Au at (0.250, 0.250, 0.750).

As for the size of the total moment: 0.0 μB/f.u. The electronic total energy comes out at -4.315 eV per atom. For the relative energy among the computed polymorphs, the calculation gives 0.422 eV per atom.

***

16.
## NdAl3 (PBE)

Data for crystalline NdAl3 at its relaxed geometry.

It has space group P6_3/mmc (No. 194), with a = 6.5208 Å, b = 6.5208 Å, c = 4.6007 Å, α = 90.00°, β = 90.00° and γ = 120.00°. The distinct sites, in fractional coordinates, are Nd at (0.3333, 0.6667, 0.2500) and Al at (0.1420, 0.2840, 0.7500).

As for the size of the total moment: 0.0 μB/f.u. The electronic total energy comes out at -4.448 eV per atom.

***

17.
## MgZnSiIr (PBE)

Data for crystalline MgZnSiIr at its relaxed geometry.

It has space group P6_3mc (No. 186), with a = 4.1287 Å, b = 4.1287 Å, c = 8.5417 Å, α = 90.00°, β = 90.00° and γ = 120.00°. The distinct sites, in fractional coordinates, are Mg at (0.3333, 0.6667, 0.0000), Zn at (0.3333, 0.6667, 0.6540), Si at (0.0000, 0.0000, 0.3155) and Ir at (0.3333, 0.6667, 0.3255).

As for the size of the total moment: 0.0 μB/f.u. The electronic total energy comes out at -4.806 eV per atom. For the relative energy among the computed polymorphs, the calculation gives 0.000 eV per atom.

***

18.
## Nb3ZnN2 (PBE)

Data for crystalline Nb3ZnN2 at its relaxed geometry.

It has space group P6_3/mmc (No. 194), with a = 3.1093 Å, b = 3.1093 Å, c = 18.9248 Å, α = 90.00°, β = 90.00° and γ = 120.00°. The distinct sites, in fractional coordinates, are Nb at (0.0000, 0.0000, 0.0000), Nb at (0.3333, 0.6667, 0.1327), Zn at (0.0000, 0.0000, 0.2500) and N at (0.3333, 0.6667, 0.5685).

As for the size of the total moment: 0.0 μB/f.u. The electronic total energy comes out at -8.675 eV per atom.

***

19.
## CsSrU (PBE)

Data for crystalline CsSrU at its relaxed geometry.

It has space group F-43m (No. 216), with a = 8.610 Å, b = 8.610 Å, c = 8.610 Å, α = 90.00°, β = 90.00° and γ = 90.00°. The distinct sites, in fractional coordinates, are Cs at (0.000, 0.000, 0.000), Sr at (0.250, 0.250, 0.750) and U at (0.250, 0.250, 0.250).

As for the size of the total moment: 4.7 μB/f.u. The electronic total energy comes out at -2.694 eV per atom. For the relative energy among the computed polymorphs, the calculation gives 0.065 eV per atom.

***

20.
## TmSiB4 (PBE)

Data for crystalline TmSiB4 at its relaxed geometry.

It has space group Immm (No. 71), with a = 3.157 Å, b = 5.017 Å, c = 7.889 Å, α = 90.00°, β = 90.00° and γ = 90.00°. The distinct sites, in fractional coordinates, are Tm at (0.000, 0.000, 0.000), Si at (0.000, 0.000, 0.500) and B at (0.000, 0.321, 0.268).

As for the size of the total moment: 0.0 μB/f.u. The electronic total energy comes out at -6.212 eV per atom. For the relative energy among the computed polymorphs, the calculation gives 0.000 eV per atom.